Here is La5Tb5Dy2 after structural relaxation from Alexandria. Energies are from PBE-GGA.

Structure (CIF):
```
data_La5Tb5Dy2
_symmetry_space_group_name_H-M 'C 1 2/m 1'
_symmetry_Int_Tables_number 12
_symmetry_space_group_name_Hall '-C 2y'
_cell_length_a 15.5058
_cell_length_b 5.1487
_cell_length_c 11.4499
_cell_angle_alpha 90.00
_cell_angle_beta 116.77
_cell_angle_gamma 90.00
loop_
_atom_site_label
_atom_site_type_symbol
_atom_site_fract_x
_atom_site_fract_y
_atom_site_fract_z
La1 La 0.0000 0.0000 0.0000
La2 La 0.0812 0.0000 0.7477
La3 La 0.2487 0.0000 0.2523
Tb1 Tb 0.0000 0.5000 0.5000
Tb2 Tb 0.0850 0.5000 0.2540
Tb3 Tb 0.1672 0.5000 0.9999
Dy1 Dy 0.1670 0.0000 0.4993
```

Computed properties:
Total energy   -113.34 eV per cell